#one
Material: Li9Co7O16
Method: DFT, GGA+U
State: relaxed

Structure (POSCAR):
```
Li9Co7O16
1.0
-7.0349 -1.8017 7.0166
-3.8167 -6.5506 6.6702
-1.9558 -2.0327 9.6959
O Li Co
16 9 7
direct
0.1423 0.6089 0.1423
0.8606 0.3774 0.3774
0.6226 0.6226 0.1394
0.8577 0.8577 0.3911
0.1394 0.6226 0.6226
0.8577 0.3911 0.8577
0.6089 0.1423 0.1423
0.6226 0.1394 0.6226
0.1423 0.1423 0.6089
0.3774 0.8606 0.3774
0.6310 0.6310 0.6310
0.3911 0.8577 0.8577
0.1259 0.1259 0.1259
0.8741 0.8741 0.8741
0.3774 0.3774 0.8606
0.3690 0.3690 0.3690
0.7488 0.7488 0.7488
0.7515 0.2491 0.7515
0.2485 0.7509 0.2485
0.2491 0.7515 0.7515
0.7515 0.7515 0.2491
0.2485 0.2485 0.7509
0.7509 0.2485 0.2485
0.0000 0.0000 0.0000
0.2512 0.2512 0.2512
0.5000 0.0000 0.5000
0.0000 0.5000 0.5000
0.5000 0.5000 0.5000
0.0000 0.0000 0.5000
0.0000 0.5000 0.0000
0.5000 0.0000 0.0000
0.5000 0.5000 0.0000
```

Results
crystal system = trigonal
V = 8.5 Å³/atom

***

#two
Material: Li9Co7O16
Method: DFT, GGA+U
State: relaxed

Structure (POSCAR):
```
Li9Co7O16
1.0
-2.8738 2.0114 4.4693
-1.4521 -4.5561 1.1168
7.1834 -2.5969 5.7877
O Li Co
16 9 7
direct
0.7685 0.1394 0.1096
0.5000 0.6020 0.1123
0.7685 0.8606 0.8904
0.0000 0.1310 0.6089
0.0000 0.8690 0.3911
0.0000 0.6335 0.1094
0.0000 0.3665 0.8906
0.2501 0.6310 0.6089
0.7499 0.3690 0.3911
0.5000 0.8693 0.3898
0.2315 0.1394 0.1096
0.2501 0.3690 0.3911
0.5000 0.3980 0.8877
0.2315 0.8606 0.8904
0.7499 0.6310 0.6089
0.5000 0.1307 0.6102
0.5000 0.7568 0.7506
0.0000 0.2475 0.2523
0.2534 0.2503 0.7508
0.0000 0.7525 0.7477
0.2534 0.7497 0.2492
0.7466 0.2503 0.7508
0.5000 0.0000 0.0000
0.5000 0.2432 0.2494
0.7466 0.7497 0.2492
0.5000 0.5000 0.5000
0.7502 0.0000 0.5000
0.7458 0.5000 0.0000
0.2498 0.0000 0.5000
0.0000 0.5000 0.5000
0.2542 0.5000 0.0000
0.0000 0.0000 0.0000
```

Results
crystal system = monoclinic
V = 8.2 Å³/atom

***

#three
Material: Li9Co7O16
Method: DFT, GGA+U
State: relaxed

Structure (POSCAR):
```
Li9Co7O16
1.0
2.8382 0.0182 0.0338
-0.0332 5.0016 -0.0563
-0.2512 -1.1359 18.6819
Co O Li
7 16 9
direct
0.4970 0.8787 0.1260
0.0086 0.2439 0.7515
0.5003 0.6252 0.3750
0.9987 0.7526 0.2505
0.9912 0.0058 0.9986
0.0017 0.4978 0.4994
0.5030 0.3713 0.6240
0.5009 0.3405 0.4399
0.5024 0.6554 0.5590
0.0011 0.7825 0.4346
0.0058 0.2880 0.9451
0.9954 0.7227 0.0674
0.4980 0.5947 0.1910
0.9974 0.0377 0.1856
0.4903 0.1570 0.0604
0.4995 0.9099 0.3101
0.5097 0.0928 0.6896
0.0027 0.2125 0.5643
0.5040 0.8317 0.9466
0.9995 0.4679 0.3154
0.0046 0.5270 0.6826
0.4955 0.4178 0.8035
0.9936 0.9616 0.8049
0.0001 0.1253 0.3750
0.4998 0.1246 0.8750
0.9976 0.3815 0.1262
0.4933 0.7545 0.7506
0.9990 0.6247 0.8750
0.4986 0.2520 0.2505
0.5062 0.4955 0.9995
0.0027 0.8684 0.6238
0.5017 0.9983 0.4995
```

Results
crystal system = triclinic
V = 8.3 Å³/atom

***

#four
Material: Li9Co7O16
Method: DFT, GGA+U
State: relaxed

Structure (POSCAR):
```
Li9Co7O16
1.0
0.0039 1.3845 -4.7634
3.4640 -6.7706 -0.2332
-7.0680 -2.6082 0.9952
Li O Co
9 16 7
direct
0.0097 0.8823 0.6323
0.0039 0.6217 0.8728
0.4998 0.0050 0.5078
0.9998 0.1291 0.3772
0.9851 0.3665 0.1170
0.5035 0.7576 0.7525
0.5014 0.1263 0.8723
0.4996 0.2481 0.2426
0.5006 0.4890 0.9958
0.7790 0.0125 0.7602
0.2554 0.8793 0.8995
0.2421 0.4828 0.7349
0.2600 0.3952 0.3934
0.2393 0.1472 0.6293
0.7492 0.0994 0.1219
0.2524 0.9924 0.2327
0.7278 0.8595 0.3575
0.7635 0.5022 0.2610
0.2708 0.6454 0.1381
0.7590 0.3692 0.8541
0.7601 0.2660 0.5195
0.7402 0.6074 0.6108
0.2178 0.2388 0.9849
0.7605 0.7674 0.0177
0.2228 0.7373 0.4875
0.5003 0.8804 0.1207
0.9980 0.4986 0.5012
0.0008 0.2469 0.7530
0.9965 0.7485 0.2502
0.4998 0.6235 0.3747
0.4999 0.3736 0.6275
0.0015 0.0010 0.9995
```

Results
crystal system = triclinic
V = 8.4 Å³/atom

***

Each structure's energy above the most stable one, in meV/atom: #one 49; #two 0; #three 10; #four 22.